Density functional theory data (GGA-PBE) for a relaxed structure of Ba2Er2Sb3.

CIF file:
```
data_Ba2Er2Sb3
_chemical_formula_sum 'Ba8 Er8 Sb12'
_space_group_name_H-M_alt 'C 1 2/m 1'
_space_group_IT_number 12
_space_group_name_Hall '-C 2y'
_cell_length_a 18.669
_cell_length_b 4.889
_cell_length_c 14.423
_cell_angle_alpha 90.00
_cell_angle_beta 124.75
_cell_angle_gamma 90.00
loop_
_atom_site_label
_atom_site_type_symbol
_atom_site_fract_x
_atom_site_fract_y
_atom_site_fract_z
Ba1 Ba 0.102 0.000 0.469
Ba2 Ba 0.230 0.000 0.835
Er1 Er 0.043 0.500 0.818
Er2 Er 0.091 0.000 0.161
Sb1 Sb 0.086 0.500 0.652
Sb2 Sb 0.115 0.000 0.970
Sb3 Sb 0.156 0.500 0.313
```

magnetization	0.68	μB/cell
calculated total energy	-4.523	eV/atom